1.
Compound: TiPAu2
Source: Alexandria
Functional: PBE
Structure: optimized geometry

Cell and atoms, written as POSCAR:
```
TiPAu2
1.0
-3.6934 3.6934 2.6024
3.6934 -3.6934 2.6024
3.6934 3.6934 -2.6024
Ti P Au
2 2 4
Cartesian
0.0000 0.0000 0.0000
0.0000 3.6934 1.3012
3.6934 0.0000 1.3012
0.0000 0.0000 2.6024
1.8467 -1.5829 1.9518
2.1105 1.8467 0.6506
1.8467 5.2763 -0.6506
1.5829 1.8467 3.2530
```

Results
VASP energy, eV/atom: -5.100

***

2.
Compound: HgPdAu2S
Source: Alexandria
Functional: PBE
Structure: optimized geometry

Cell and atoms, written as POSCAR:
```
HgPdAu2S
1.0
5.0682 0.0000 0.0000
0.0000 5.0682 0.0000
0.0000 0.0000 5.0831
Hg Pd Au S
1 1 2 1
Cartesian
0.0000 0.0000 0.0000
0.0000 0.0000 2.5415
0.0000 2.5341 2.5415
2.5341 0.0000 2.5415
2.5341 2.5341 0.0000
```

Results
Formation energy from raw total energies, eV/atom: 0.8753

***

3.
Compound: TlSn6
Source: Alexandria
Functional: PBE
Structure: optimized geometry

Cell and atoms, written as POSCAR:
```
TlSn6
1.0
-4.0786 4.0786 4.0786
4.0786 -4.0786 4.0786
4.0786 4.0786 -4.0786
Tl Sn
1 6
Cartesian
0.0000 0.0000 0.0000
4.0786 2.0393 0.0000
4.0786 0.0000 2.0393
2.0393 4.0786 0.0000
2.0393 0.0000 4.0786
0.0000 4.0786 2.0393
0.0000 2.0393 4.0786
```

Results
VASP energy, eV/atom: -3.589

***

4.
Compound: LiFe4Ru
Source: Alexandria
Functional: PBE
Structure: optimized geometry

Cell and atoms, written as POSCAR:
```
LiFe4Ru
1.0
0.0000 3.3251 3.3251
3.3251 0.0000 3.3251
3.3251 3.3251 0.0000
Li Fe Ru
1 4 1
Cartesian
0.0000 0.0000 0.0000
2.4916 2.4916 2.4916
4.1587 4.1587 2.4916
4.1587 2.4916 4.1587
2.4916 4.1587 4.1587
4.9877 4.9877 4.9877
```

Results
VASP energy, eV/atom: -7.300

***

5.
Compound: CdRuCl2
Source: Alexandria
Functional: PBE
Structure: optimized geometry

Cell and atoms, written as POSCAR:
```
CdRuCl2
1.0
3.1733 0.0000 0.0000
0.0000 3.1733 0.0000
0.0000 0.0000 9.1633
Cd Ru Cl
1 1 2
Cartesian
0.0000 0.0000 0.0000
0.0000 0.0000 4.5816
1.5867 1.5867 2.9723
1.5867 1.5867 6.1910
```

Results
Formation energy from raw total energies, eV/atom: 0.2060

***

6.
Compound: Ho2CdO
Source: Alexandria
Functional: PBE
Structure: optimized geometry

Cell and atoms, written as POSCAR:
```
Ho2CdO
1.0
1.7273 0.9973 8.8952
-1.7273 0.9973 8.8952
0.0000 -1.9946 8.8952
Ho Cd O
2 1 1
Cartesian
0.0000 0.0000 3.1191
0.0000 0.0000 23.5665
0.0000 0.0000 0.0000
0.0000 0.0000 13.3428
```

Results
Formation energy from raw total energies, eV/atom: -1.1676